VASP calculation (PBE) on a geometry-optimized SiHgPd2 structure.

Cell lengths 6.4239, 6.4239, 6.4239 Å; angles 90.00, 90.00, 90.00 degrees
Space group F-43m (No. 216)
Asymmetric unit:
Si 0.0000 0.0000 0.0000 [4 per cell]
Hg 0.2500 0.2500 0.2500 [4 per cell]
Pd 0.0000 0.0000 0.5000 [4 per cell]
Pd 0.2500 0.2500 0.7500 [4 per cell]

## Properties
total DFT energy (no corrections): -16.0 eV per formula unit



VASP calculation (PBE) on a geometry-optimized SiHgPd structure.

Cell lengths 6.0699, 6.0699, 6.0699 Å; angles 90.00, 90.00, 90.00 degrees
Space group F-43m (No. 216)
Asymmetric unit:
Si 0.0000 0.0000 0.0000 [4 per cell]
Hg 0.2500 0.2500 0.7500 [4 per cell]
Pd 0.2500 0.2500 0.2500 [4 per cell]

## Properties
polymorph energy (0 for the lowest one): 0.0000 eV per atom
total DFT energy (no corrections): -10.8 eV per formula unit



VASP calculation (PBE) on a geometry-optimized Sm3Hg3Pd2 structure.

Cell lengths 7.6741, 7.6741, 3.7883 Å; angles 90.00, 90.00, 120.00 degrees
Space group P-62m (No. 189)
Asymmetric unit:
Sm 0.0000 0.4087 0.0000 [3 per cell]
Hg 0.0000 0.7621 0.5000 [3 per cell]
Pd 0.3333 0.6667 0.5000 [2 per cell]

## Properties
total DFT energy (no corrections): -30.8 eV per formula unit